No. 1
## Sr5Zr (PBE)

Data for Sr5Zr after structural relaxation.

Values from the calculation:
The value obtained for the energy above the lowest structure with this stoichiometry is 0 meV/atom. The formation energy from the elements comes out at 0.300 eV per atom.

abc: 14.235 4.083 10.201
angles: 90.00 111.70 90.00
Space group Cm (No. 8)
One atom of each set of equivalent atoms:
Sr (0.000, 0.000, 0.000) x2
Sr (0.021, 0.000, 0.431) x2
Sr (0.191, 0.500, 0.845) x2
Sr (0.213, 0.500, 0.279) x2
Sr (0.357, 0.000, 0.640) x2
Zr (0.356, 0.000, 0.138) x2



No. 2
## Ta2TlP (PBE)

Data for Ta2TlP after structural relaxation.

Values from the calculation:
The value obtained for the energy above the lowest structure with this stoichiometry is 299 meV/atom. The formation energy from the elements comes out at 0.234 eV per atom.

abc: 10.638 3.185 4.577
angles: 90.00 103.66 90.00
Space group Cm (No. 8)
One atom of each set of equivalent atoms:
Ta (0.000, 0.000, 0.000) x2
Ta (0.187, 0.000, 0.620) x2
Tl (0.432, 0.000, 0.460) x2
P (0.182, 0.500, 0.110) x2



No. 3
## USbAuN (PBE)

Data for USbAuN after structural relaxation.

Values from the calculation:
The value obtained for the formation energy (no corrections) is -709 meV/atom.

abc: 3.976 3.976 9.749
angles: 90.00 90.00 90.00
Space group P4/nmm (No. 129, origin choice 2)
One atom of each set of equivalent atoms:
U (0.250, 0.250, 0.115) x2
Sb (0.250, 0.250, 0.717) x2
Au (0.250, 0.750, 0.500) x2
N (0.250, 0.750, 0.000) x2



No. 4
## GaHgP2O (PBE)

Data for GaHgP2O after structural relaxation.

Values from the calculation:
The value obtained for the formation energy (no corrections) is 987 meV/atom. The value obtained for the energy above the lowest structure with this stoichiometry is 659 meV/atom.

abc: 5.104 5.104 4.090
angles: 90.00 90.00 90.00
Space group P4/mmm (No. 123)
One atom of each set of equivalent atoms:
Ga (0.000, 0.000, 0.000) x1
Hg (0.500, 0.500, 0.500) x1
P (0.000, 0.500, 0.500) x2
O (0.500, 0.500, 0.000) x1



No. 5
## ZrTiBe4 (PBE)

Data for ZrTiBe4 after structural relaxation.

Values from the calculation:
The formation energy from the elements comes out at -0.137 eV per atom.

abc: 6.640 6.640 6.640
angles: 90.00 90.00 90.00
Space group F-43m (No. 216)
One atom of each set of equivalent atoms:
Zr (0.000, 0.000, 0.000) x4
Ti (0.250, 0.250, 0.250) x4
Be (0.125, 0.125, 0.625) x16



No. 6
## LiLa2Ga3Au4 (PBE)

Data for LiLa2Ga3Au4 after structural relaxation.

Values from the calculation:
The formation energy from the elements comes out at -0.678 eV per atom.

abc: 4.524 4.524 10.375
angles: 90.00 90.00 90.00
Space group P-4m2 (No. 115)
One atom of each set of equivalent atoms:
Li (0.000, 0.000, 0.000) x1
La (0.000, 0.500, 0.747) x2
Ga (0.000, 0.500, 0.367) x2
Ga (0.500, 0.500, 0.000) x1
Au (0.000, 0.000, 0.500) x1
Au (0.000, 0.500, 0.123) x2
Au (0.500, 0.500, 0.500) x1



| no. | total magnetic moment (Bohr magnetons per cell) |
| --- | --- |
| 1 | 1.86 |
| 2 | 0.00 |
| 3 | 2.27 |
| 4 | 0.42 |
| 5 | 9.04 |
| 6 | 0.00 |